Here is a relaxed Er3In5 crystal from Alexandria. Energies are from GGA-PBEsol. Values from VASP.

Cell and atoms, written as Quantum ESPRESSO input:
```
&SYSTEM
  ibrav = 0, nat = 16, ntyp = 2
/
ATOMIC_SPECIES
Er 167.26 Er.upf
In 114.82 In.upf
CELL_PARAMETERS angstrom
4.8426 -3.9362 0.0000
4.8426 3.9362 0.0000
0.0000 0.0000 10.1225
ATOMIC_POSITIONS angstrom
Er 4.8426 3.0356 7.5919
Er 2.8467 0.0000 0.0000
Er 2.8467 0.0000 5.0613
Er 6.8385 0.0000 0.0000
Er 6.8385 0.0000 5.0613
Er 4.8426 -3.0356 2.5306
In 2.1219 1.6776 7.5919
In 4.8426 2.3996 0.4399
In 4.8426 2.3996 4.6214
In 2.1219 -1.6776 2.5306
In 4.8426 0.0117 2.5306
In 4.8426 -0.0117 7.5919
In 7.5632 1.6776 7.5919
In 4.8426 -2.3996 5.5011
In 4.8426 -2.3996 9.6827
In 7.5632 -1.6776 2.5306
```

Properties
As for the formation energy: -47.93 kJ/mol of atoms.